The following is a DFT calculation (PBE) of an optimized crystal structure of KNa4Eu.

DFT total energy   -2.6982 eV/atom
Size of the total moment   7.833 μB per formula unit

Unit cell a=7.1895 b=7.1895 c=7.1895 alpha=60.00 beta=60.00 gamma=60.00
Closest atoms and distances in Å follow each position.
Fractional positions:
Eu 0.2500 0.2500 0.2500  12 Na 4.21, 4 K 4.40
Na 0.6243 0.6243 0.1270  6 Na 3.58-3.61
Na 0.6243 0.1270 0.6243  6 Na 3.58-3.61
Na 0.6243 0.6243 0.6243  6 Na 3.58-3.61
Na 0.1270 0.6243 0.6243  6 Na 3.58-3.61
K 0.0000 0.0000 0.0000  12 Na 4.22, 4 Eu 4.40